1.
A geometry-optimized Ga2Si2Tc structure. Source: the Alexandria database, functional PBE.

The total magnetization comes out at 0.0 μB per formula unit. The uncorrected formation energy comes out at 0.1158 eV per atom. Its density of states at the Fermi level is 0.478 states/eV/atom. As for the total energy: -26.69 eV per formula unit.

The space group is P4/mbm (No. 127) and the conventional cell measures 6.3868, 6.3868 and 3.7849 Å, with angles of 90.00, 90.00 and 90.00 degrees. The distinct sites, in fractional coordinates, are Ga at (0.1782, 0.3218, 0.0000), Si at (0.1318, 0.6318, 0.5000) and Tc at (0.0000, 0.0000, 0.5000).


2.
A geometry-optimized NaMgTlAu structure. Source: the Alexandria database, functional PBE.

The calculation puts the formation energy at -0.21 eV/atom. Its polymorph energy (0 for the lowest one) is 0.068 eV/atom. The total magnetization comes out at 0.0 μB per formula unit. Its density of states at the Fermi level is 0.434 states/eV/atom. As for the total energy: -9.39 eV per formula unit.

The space group is F-43m (No. 216) and the conventional cell measures 7.0817, 7.0817 and 7.0817 Å, with angles of 90.00, 90.00 and 90.00 degrees. The distinct sites, in fractional coordinates, are Na at (0.0000, 0.0000, 0.0000), Mg at (0.0000, 0.0000, 0.5000), Tl at (0.2500, 0.2500, 0.7500) and Au at (0.2500, 0.2500, 0.2500).


3.
A geometry-optimized Pr2Lu structure. Source: the Alexandria database, functional PBE.

The calculation puts the formation energy at 0.28 eV/atom. The total magnetization comes out at 0.0 μB per formula unit. Its density of states at the Fermi level is 1.894 states/eV/atom. As for the total energy: -13.23 eV per formula unit.

The space group is Fd-3m (No. 227, origin choice 2) and the conventional cell measures 9.4569, 9.4569 and 9.4569 Å, with angles of 90.00, 90.00 and 90.00 degrees. The distinct sites, in fractional coordinates, are Pr at (0.0000, 0.0000, 0.0000) and Lu at (0.1250, 0.1250, 0.6250).